1.
A plane-wave DFT calculation with GGA-PBE was carried out for a relaxed structure of Cs3Tl.

```
4
Lattice="6.599 0.000 0.000 0.000 6.599 0.000 0.000 0.000 6.599" Properties=species:S:1:pos:R:3 pbc="T T T"
Cs 0.000 0.000 3.299
Cs 0.000 3.299 0.000
Cs 3.299 0.000 0.000
Tl 3.299 3.299 3.299
```

Values from the calculation:
**DOS at the Fermi energy**: 5.75 states/eV/f.u.
**Uncorrected energy**: -4.5 eV per cell
**Energy relative to the lowest polymorph listed for this composition**: 117 meV per atom

=====

2.
A plane-wave DFT calculation with GGA-PBE was carried out for a relaxed structure of CsTl.

```
2
Lattice="0.000 3.983 3.983 3.983 0.000 3.983 3.983 3.983 0.000" Properties=species:S:1:pos:R:3 pbc="T T T"
Cs 0.000 0.000 0.000
Tl 3.983 3.983 3.983
```

Values from the calculation:
**DOS at the Fermi energy**: 1.37 states/eV/f.u.
**Uncorrected energy**: -2.7 eV per cell
**Energy relative to the lowest polymorph listed for this composition**: 312 meV per atom

=====

3.
A plane-wave DFT calculation with GGA-PBE was carried out for a relaxed structure of Cs2Tl7.

```
18
Lattice="3.475 2.006 16.302 -3.475 2.006 16.302 0.000 -4.012 16.302" Properties=species:S:1:pos:R:3 pbc="T T T"
Cs 0.000 0.000 2.531
Cs 0.000 0.000 7.353
Cs 0.000 0.000 41.553
Cs 0.000 0.000 46.375
Tl -1.737 -1.003 16.302
Tl -1.743 -1.007 21.685
Tl 0.000 0.000 13.584
Tl 0.000 -2.013 27.221
Tl -1.743 1.007 27.221
Tl 0.000 0.000 19.051
Tl -1.737 1.003 32.604
Tl 0.000 2.006 16.302
Tl 0.000 0.000 24.453
Tl 0.000 0.000 29.855
Tl 1.743 -1.007 21.685
Tl 0.000 2.013 21.685
Tl 0.000 0.000 35.322
Tl 1.743 1.007 27.221
```

Values from the calculation:
**DOS at the Fermi energy**: 5.16 states/eV/f.u.
**Uncorrected energy**: -37.6 eV per cell

=====

4.
A plane-wave DFT calculation with GGA-PBE was carried out for a relaxed structure of CsTl.

```
4
Lattice="3.141 -6.648 0.000 3.141 6.648 0.000 0.000 0.000 5.455" Properties=species:S:1:pos:R:3 pbc="T T T"
Cs 3.141 4.638 4.091
Cs 3.141 -4.638 1.364
Tl 3.141 0.623 4.091
Tl 3.141 -0.623 1.364
```

Values from the calculation:
**DOS at the Fermi energy**: 0.96 states/eV/f.u.
**Uncorrected energy**: -6.7 eV per cell
**Energy relative to the lowest polymorph listed for this composition**: 0 meV per atom

=====

5.
A plane-wave DFT calculation with GGA-PBE was carried out for a relaxed structure of CsTl.

```
2
Lattice="4.633 0.000 0.000 0.000 4.633 0.000 0.000 0.000 4.633" Properties=species:S:1:pos:R:3 pbc="T T T"
Cs 0.000 0.000 0.000
Tl 2.316 2.316 2.316
```

Values from the calculation:
**DOS at the Fermi energy**: 3.33 states/eV/f.u.
**Uncorrected energy**: -3.0 eV per cell
**Energy relative to the lowest polymorph listed for this composition**: 160 meV per atom

=====

6.
A plane-wave DFT calculation with GGA-PBE was carried out for a relaxed structure of CsTl.

```
8
Lattice="7.817 0.000 0.000 0.000 7.817 0.000 0.000 0.000 7.937" Properties=species:S:1:pos:R:3 pbc="T T T"
Cs 1.399 1.399 0.000
Cs 2.510 5.307 3.968
Cs 5.307 2.510 3.968
Cs 6.418 6.418 0.000
Tl 1.115 1.115 3.968
Tl 2.794 5.023 0.000
Tl 5.023 2.794 0.000
Tl 6.702 6.702 3.968
```

Values from the calculation:
**DOS at the Fermi energy**: 3.07 states/eV/f.u.
**Uncorrected energy**: -11.8 eV per cell
**Energy relative to the lowest polymorph listed for this composition**: 205 meV per atom

=====

Which of these has the lowest DOS at the Fermi energy? number 4

=====

uncorrected energy of number 5 (CsTl)? -3.0 eV per cell